one | Compound: TlFe3B
Source: the Alexandria database
Functional: GGA-PBE
Structure: optimized geometry

Summary:
Fermi-level density of states ... 6.7 states/eV per cell
Size of the total moment ... 0.904 μB per atom

```
TlFe3B
1.0
3.977 0.000 0.000
0.000 3.977 0.000
0.000 0.000 3.977
Tl Fe B
1 3 1
Cartesian
0.000 0.000 0.000
0.000 1.988 1.988
1.988 0.000 1.988
1.988 1.988 0.000
1.988 1.988 1.988
```



two | Compound: TlFe3B
Source: the Alexandria database
Functional: GGA-PBE
Structure: optimized geometry

Summary:
Fermi-level density of states ... 7.6 states/eV per cell
Size of the total moment ... 1.815 μB per atom

```
TlFe3B
1.0
4.882 0.000 0.000
0.000 4.882 0.000
0.000 0.000 4.882
Tl Fe B
1 3 1
Cartesian
0.000 0.000 0.000
0.000 0.000 2.441
0.000 2.441 0.000
2.441 0.000 0.000
2.441 2.441 2.441
```



Energies relative to the most stable structure, in kJ/mol of atoms: one 0.0; two 218.1.



one | Compound: Tl2FeB
Source: the Alexandria database
Functional: GGA-PBE
Structure: optimized geometry

Summary:
Fermi-level density of states ... 32.4 states/eV per cell
Size of the total moment ... 0.008 μB per atom

```
Tl2FeB
1.0
6.878 0.000 0.000
0.000 6.878 0.000
0.000 0.000 6.256
Tl Fe B
8 4 4
Cartesian
1.504 1.719 0.782
1.719 4.943 2.346
1.719 5.374 5.474
1.935 1.719 3.910
4.943 5.158 3.910
5.158 1.504 5.474
5.158 1.935 2.346
5.374 5.158 0.782
0.000 0.000 3.128
0.000 3.439 4.692
3.439 0.000 1.564
3.439 3.439 0.000
0.000 0.000 0.000
0.000 3.439 1.564
3.439 0.000 4.692
3.439 3.439 3.128
```



two | Compound: Tl2FeB
Source: the Alexandria database
Functional: GGA-PBE
Structure: optimized geometry

Summary:
Fermi-level density of states ... 16.7 states/eV per cell
Size of the total moment ... 0.000 μB per atom

```
Tl2FeB
1.0
6.572 0.000 0.000
0.000 6.572 0.000
0.000 0.000 6.572
Tl Fe B
8 4 4
Cartesian
1.643 1.643 1.643
1.643 1.643 4.929
1.643 4.929 1.643
1.643 4.929 4.929
4.929 1.643 1.643
4.929 1.643 4.929
4.929 4.929 1.643
4.929 4.929 4.929
0.000 0.000 0.000
0.000 3.286 3.286
3.286 0.000 3.286
3.286 3.286 0.000
0.000 0.000 3.286
0.000 3.286 0.000
3.286 0.000 0.000
3.286 3.286 3.286
```



Energies relative to the most stable structure, in kJ/mol of atoms: one 0.0; two 3.9.



one | Compound: TmFe4B4
Source: the Alexandria database
Functional: GGA-PBE
Structure: optimized geometry

Summary:
Fermi-level density of states ... 14.0 states/eV per cell
Size of the total moment ... 0.095 μB per atom

```
TmFe4B4
1.0
6.899 0.000 0.000
0.000 6.899 0.000
0.000 0.000 3.825
Tm Fe B
2 8 8
Cartesian
1.725 1.725 0.956
5.174 5.174 2.869
0.814 4.373 0.533
0.924 6.085 2.445
2.526 4.264 2.445
2.635 5.975 0.533
4.264 0.924 3.292
4.373 2.635 1.380
5.975 0.814 1.380
6.085 2.526 3.292
0.359 6.329 0.545
0.570 3.808 2.458
2.879 6.541 2.458
3.091 4.020 0.545
3.808 2.879 3.280
4.020 0.359 1.367
6.329 3.091 1.367
6.541 0.570 3.280
```



two | Compound: TmFe4B4
Source: the Alexandria database
Functional: GGA-PBE
Structure: optimized geometry

Summary:
Fermi-level density of states ... 14.3 states/eV per cell
Size of the total moment ... 0.117 μB per atom

```
TmFe4B4
1.0
5.005 0.000 0.000
0.000 5.005 0.000
0.000 0.000 6.918
Tm Fe B
2 8 8
Cartesian
1.251 3.754 1.729
3.754 1.251 5.188
0.033 3.754 4.266
1.251 2.535 6.110
1.251 4.972 6.110
2.470 3.754 4.266
2.535 1.251 2.651
3.754 0.033 0.807
3.754 2.470 0.807
4.972 1.251 2.651
0.371 1.251 0.642
1.251 0.371 4.101
1.251 2.131 4.101
2.131 1.251 0.642
2.874 3.754 6.276
3.754 2.874 2.817
3.754 4.634 2.817
4.634 3.754 6.276
```



Energies relative to the most stable structure, in kJ/mol of atoms: one 0.0; two 3.1.



one | Compound: TmFeB4
Source: the Alexandria database
Functional: GGA-PBE
Structure: optimized geometry

Summary:
Fermi-level density of states ... 8.4 states/eV per cell
Size of the total moment ... 0.000 μB per atom

```
TmFeB4
1.0
5.852 0.000 0.000
0.000 11.317 0.000
0.000 0.000 3.339
Tm Fe B
4 4 16
Cartesian
0.745 1.699 0.000
2.182 7.357 0.000
3.671 3.959 0.000
5.108 9.618 0.000
0.782 4.653 0.000
2.144 10.311 0.000
3.708 1.005 0.000
5.070 6.664 0.000
0.142 7.822 1.669
0.654 6.184 1.669
0.808 10.960 1.669
1.265 9.232 1.669
1.661 3.574 1.669
2.118 5.302 1.669
2.272 0.525 1.669
2.784 2.163 1.669
3.068 9.153 1.669
3.581 10.791 1.669
3.734 6.015 1.669
4.192 7.743 1.669
4.587 2.084 1.669
5.044 0.357 1.669
5.198 5.133 1.669
5.710 3.495 1.669
```



two | Compound: TmFeB4
Source: the Alexandria database
Functional: GGA-PBE
Structure: optimized geometry

Summary:
Fermi-level density of states ... 2.1 states/eV per cell
Size of the total moment ... 0.310 μB per atom

```
TmFeB4
1.0
0.000 3.081 3.081
3.081 0.000 3.081
3.081 3.081 0.000
Tm Fe B
1 1 4
Cartesian
0.000 0.000 0.000
1.540 1.540 1.540
3.976 2.185 2.185
2.185 3.976 2.185
2.185 2.185 3.976
3.976 3.976 3.976
```



three | Compound: TmFeB4
Source: the Alexandria database
Functional: GGA-PBE
Structure: optimized geometry

Summary:
Fermi-level density of states ... 3.1 states/eV per cell
Size of the total moment ... 0.269 μB per atom

```
TmFeB4
1.0
3.119 0.000 0.000
-1.560 2.701 0.000
0.000 0.000 6.580
Tm Fe B
1 1 4
Cartesian
0.000 0.000 0.000
0.000 0.000 3.290
0.000 1.801 1.889
0.000 1.801 4.691
1.560 0.900 1.889
1.560 0.900 4.691
```



Energies relative to the most stable structure, in kJ/mol of atoms: one 0.0; two 110.0; three 25.1.



one | Compound: TmFeB2
Source: the Alexandria database
Functional: GGA-PBE
Structure: optimized geometry

Summary:
Fermi-level density of states ... 8.5 states/eV per cell
Size of the total moment ... 0.056 μB per atom

```
TmFeB2
1.0
5.763 0.000 0.000
0.000 3.443 0.000
0.000 0.000 9.166
Tm Fe B
4 4 8
Cartesian
0.672 0.861 1.252
2.210 2.582 5.835
3.554 0.861 3.331
5.091 2.582 7.914
0.658 0.861 4.019
2.224 2.582 8.603
3.539 0.861 0.564
5.106 2.582 5.147
0.180 0.861 6.086
1.316 0.861 7.646
1.566 2.582 3.063
2.701 2.582 1.503
3.062 0.861 7.664
4.197 0.861 6.104
4.448 2.582 1.520
5.583 2.582 3.081
```



two | Compound: TmFeB2
Source: the Alexandria database
Functional: GGA-PBE
Structure: optimized geometry

Summary:
Fermi-level density of states ... 7.5 states/eV per cell
Size of the total moment ... 0.000 μB per atom

```
TmFeB2
1.0
3.456 0.000 0.000
-1.728 2.993 0.000
0.000 0.000 13.645
Tm Fe B
3 3 6
Cartesian
0.000 0.000 0.000
0.000 1.995 9.097
1.728 0.998 4.548
0.000 0.000 6.823
0.000 1.995 2.274
1.728 0.998 11.371
0.000 0.000 2.690
0.000 0.000 10.955
0.000 1.995 6.407
0.000 1.995 11.787
1.728 0.998 1.858
1.728 0.998 7.239
```



Energies relative to the most stable structure, in kJ/mol of atoms: one 0.0; two 15.8.



one | Compound: Fe2B2W
Source: the Alexandria database
Functional: GGA-PBE
Structure: optimized geometry

Summary:
Fermi-level density of states ... 6.5 states/eV per cell
Size of the total moment ... 0.438 μB per atom

```
Fe2B2W
1.0
3.778 0.000 0.000
0.000 2.954 0.000
-0.894 0.000 8.638
Fe B W
4 4 2
Cartesian
0.466 0.738 0.911
0.493 2.215 4.344
2.390 0.738 4.294
2.417 2.215 7.727
0.485 0.738 2.898
0.525 2.215 8.451
2.359 0.738 0.188
2.399 2.215 5.740
0.545 0.738 6.523
2.338 2.215 2.116
```



two | Compound: Fe2B2W
Source: the Alexandria database
Functional: GGA-PBE
Structure: optimized geometry

Summary:
Fermi-level density of states ... 8.5 states/eV per cell
Size of the total moment ... 0.169 μB per atom

```
Fe2B2W
1.0
6.010 0.000 0.000
0.000 6.010 0.000
0.000 0.000 2.638
Fe B W
4 4 2
Cartesian
0.907 2.099 0.000
2.099 5.104 0.000
3.912 0.907 0.000
5.104 3.912 0.000
0.798 3.803 1.319
2.208 0.798 1.319
3.803 5.213 1.319
5.213 2.208 1.319
0.000 0.000 1.319
3.005 3.005 1.319
```



Energies relative to the most stable structure, in kJ/mol of atoms: one 0.0; two 11.9.